1.
DFT (PBE) results for a relaxed InFe3Se crystal.

abc: 4.4381 4.4381 4.4381
angles: 90.00 90.00 90.00
Last column: nearest neighbours and their distance in Å.
Positions (direct):
In 0.5000 0.5000 0.5000  12 Fe 3.14
Fe 0.5000 0.0000 0.0000  2 Se 2.22
Fe 0.0000 0.0000 0.5000  2 Se 2.22
Fe 0.0000 0.5000 0.0000  2 Se 2.22
Se 0.0000 0.0000 0.0000  6 Fe 2.22

Results
* formation energy without anion corrections: 0.5260 eV per atom
* total moment: 6.67 μB/cell
* energy relative to the lowest polymorph listed for this composition: 0.00 kJ/mol of atoms
* calculated volume: 17.48 A^3/atom

***

2.
DFT (PBE) results for a relaxed In2FeSe crystal.

abc: 4.9925 4.9925 3.4397
angles: 89.90 89.90 102.46
Last column: nearest neighbours and their distance in Å.
Positions (direct):
Se 0.5000 0.0000 0.5000  8 In 3.03, 2 Fe 3.13
In 0.0000 0.0000 0.0000  4 Fe 3.03, 4 Se 3.03, 2 In 3.13
In 0.5000 0.5000 0.0000  4 Se 3.03, 4 Fe 3.03, 2 In 3.13
Fe 0.0000 0.5000 0.5000  8 In 3.03, 2 Se 3.13

Results
* formation energy without anion corrections: 0.2869 eV per atom
* total moment: 2.77 μB/cell
* calculated volume: 20.93 A^3/atom

***

3.
DFT (PBE) results for a relaxed In2FeSe crystal.

abc: 5.9358 5.9358 5.9358
angles: 139.50 139.50 58.62
Last column: nearest neighbours and their distance in Å.
Positions (direct):
In 0.5000 0.5000 0.0000  4 In 2.91
In 0.0000 0.0000 0.0000  4 In 2.91
Se 0.2500 0.7500 0.5000  4 Fe 2.91
Fe 0.7500 0.2500 0.5000  4 Se 2.91

Results
* formation energy without anion corrections: 0.3531 eV per atom
* total moment: 3.15 μB/cell
* calculated volume: 21.85 A^3/atom

***

4.
DFT (PBE) results for a relaxed InFeTeSe2 crystal.

abc: 4.5916 5.6728 4.5916
angles: 90.00 90.00 90.00
Last column: nearest neighbours and their distance in Å.
Positions (direct):
Se 0.5000 0.0000 0.0000  2 Fe 2.30
Se 0.0000 0.0000 0.5000  2 Fe 2.30
Fe 0.0000 0.0000 0.0000  4 Se 2.30
Te 0.0000 0.5000 0.0000  2 Fe 2.84
In 0.5000 0.5000 0.5000  4 Te 3.25

Results
* formation energy without anion corrections: 0.1023 eV per atom
* total moment: 2.95 μB/cell
* calculated volume: 23.92 A^3/atom

***

5.
DFT (PBE) results for a relaxed InFeSi crystal.

abc: 3.9082 3.9082 3.6515
angles: 90.00 90.00 120.00
Last column: nearest neighbours and their distance in Å.
Positions (direct):
In 0.6667 0.3333 0.3334  6 Fe 2.90, 6 Si 2.90
Si 0.3333 0.6667 0.8334  3 Fe 2.26
Fe 0.0000 0.0000 0.8333  3 Si 2.26

Results
* formation energy without anion corrections: 0.1653 eV per atom
* total moment: 0.36 μB/cell
* calculated volume: 16.10 A^3/atom

***

6.
DFT (PBE) results for a relaxed InFeSi crystal.

abc: 2.8668 2.8662 11.4764
angles: 90.00 90.05 90.00
Last column: nearest neighbours and their distance in Å.
Positions (direct):
In 0.9856 0.0000 0.0307  4 Fe 2.75-2.76, 5 In 2.87-2.97, 1 Si 3.08
In 0.9804 0.0000 0.2896  1 Si 2.71, 5 In 2.87-2.97
Si 0.9832 0.0000 0.5254  4 Fe 2.38
Si 0.9842 0.0000 0.7625  8 Fe 2.36-2.51
Fe 0.4835 0.5000 0.6336  8 Si 2.38-2.51
Fe 0.4847 0.5000 0.8682  4 Si 2.36

Results
* formation energy without anion corrections: -0.0820 eV per atom
* total moment: 0.00 μB/cell
* calculated volume: 15.72 A^3/atom

***

7.
DFT (PBE) results for a relaxed InFeSi crystal.

abc: 3.0108 3.0108 6.1648
angles: 90.00 90.00 120.00
Last column: nearest neighbours and their distance in Å.
Positions (direct):
In 0.3333 0.6667 0.3131  3 Fe 2.75, 6 In 3.01, 3 Si 3.05
Fe 0.0000 0.0000 0.9668  3 Si 2.31
Si 0.6667 0.3333 0.7201  3 Fe 2.31

Results
* formation energy without anion corrections: 0.2042 eV per atom
* total moment: 1.06 μB/cell
* calculated volume: 16.13 A^3/atom

***

8.
DFT (PBE) results for a relaxed InFeSi crystal.

abc: 4.2207 4.5386 5.3421
angles: 107.23 90.52 96.96
Last column: nearest neighbours and their distance in Å.
Positions (direct):
Si 0.1947 0.1543 0.4126  4 Fe 2.29-2.35, 1 Si 2.40
Si 0.8053 0.8457 0.5874  4 Fe 2.29-2.35, 1 Si 2.40
Fe 0.7155 0.3305 0.5794  4 Si 2.29-2.35
Fe 0.2845 0.6695 0.4206  4 Si 2.29-2.35
In 0.2692 0.6756 0.9140  4 Fe 2.63-2.91, 1 In 2.93, 2 Si 2.93-2.94
In 0.7308 0.3244 0.0860  4 Fe 2.63-2.91, 1 In 2.93, 2 Si 2.93-2.94

Results
* formation energy without anion corrections: -0.0312 eV per atom
* total moment: 0.00 μB/cell
* calculated volume: 16.15 A^3/atom